First-principles (PBE) data for crystalline SnAsCl at its relaxed geometry, as listed in Alexandria.

Cell and atoms, written as CIF:
```
data_SnAsCl
_cell_length_a 4.1297
_cell_length_b 5.9675
_cell_length_c 7.9179
_cell_angle_alpha 90.00
_cell_angle_beta 104.13
_cell_angle_gamma 90.00
_space_group_name_H-M_alt 'P 1 21 1'
_space_group_IT_number 4
loop_
_space_group_symop_operation_xyz
'x,y,z'
'-x,y+1/2,-z'
loop_
_atom_site_label
_atom_site_fract_x
_atom_site_fract_y
_atom_site_fract_z
Sn1 0.2032 0.0000 0.3999
As1 0.3404 0.7589 0.6931
Cl1 0.0950 0.7292 0.1664
```

Results
As for the total energy: -3.950 eV per atom.